Entry from the Alexandria database: an optimized crystal structure of Tm3Mg7Cd (PBE).

Summary:
- Density of states at the Fermi level: 0.777 states/eV per atom
- Crystal system: orthorhombic
- Formation energy from the elements: 74 meV per atom
- Volume: 25.61 A^3/atom
- SG: Cmcm (63)

Lattice parameters (Å, degrees): 11.407 11.407 15.201 90.00 90.00 163.45
Element x y z (fractional)
Tm 0.121 0.879 0.549
Tm 0.121 0.879 0.951
Tm 0.265 0.735 0.250
Tm 0.735 0.265 0.750
Tm 0.879 0.121 0.049
Tm 0.879 0.121 0.451
Mg 0.263 0.737 0.574
Mg 0.263 0.737 0.926
Mg 0.372 0.628 0.655
Mg 0.372 0.628 0.845
Mg 0.413 0.587 0.250
Mg 0.495 0.505 0.592
Mg 0.495 0.505 0.908
Mg 0.505 0.495 0.092
Mg 0.505 0.495 0.408
Mg 0.587 0.413 0.750
Mg 0.628 0.372 0.155
Mg 0.628 0.372 0.345
Mg 0.737 0.263 0.074
Mg 0.737 0.263 0.426
Cd 0.033 0.967 0.250
Cd 0.967 0.033 0.750